DFT (GGA-PBEsol) results for a relaxed MgAlSn3 crystal.

```
MgAlSn3
1.0
-1.515 4.235 2.703
0.615 -2.646 4.490
4.987 1.613 0.268
Mg Sn Al
1 3 1
Direct
0.500 0.500 0.500
0.000 0.500 0.000
0.000 0.000 0.500
0.500 0.000 0.000
0.000 0.000 0.000
```

Values from the calculation:
DFT formation energy ... 0.40 eV per atom
Spin magnetization ... 0.00 μB per cell


DFT (GGA-PBEsol) results for a relaxed IrRh2 crystal.

```
IrRh2
1.0
-0.340 0.432 3.752
-4.368 -3.114 -0.037
4.614 -6.488 1.166
Ir Rh
4 8
Direct
0.750 0.875 0.082
0.250 0.625 0.582
0.750 0.375 0.418
0.250 0.125 0.918
0.750 0.874 0.752
0.750 0.875 0.416
0.250 0.625 0.916
0.250 0.626 0.252
0.750 0.374 0.748
0.750 0.375 0.084
0.250 0.125 0.584
0.250 0.126 0.248
```

Values from the calculation:
Excess energy over the best structure of this formula in the dataset ... 0.006 eV/atom
DFT formation energy ... -0.02 eV per atom
Spin magnetization ... 0.00 μB per cell


DFT (GGA-PBEsol) results for a relaxed BeBN2F crystal.

```
BeBN2F
1.0
3.125 0.000 0.000
0.000 3.544 0.000
0.000 0.000 3.544
Be F B N
1 1 1 2
Direct
0.000 0.000 0.000
0.500 0.000 0.000
0.500 0.500 0.500
0.000 0.000 0.500
0.000 0.500 0.000
```

Values from the calculation:
Energy relative to the elements, uncorrected ... 1136 meV per atom
Spin magnetization ... 0.00 μB per cell


DFT (GGA-PBEsol) results for a relaxed MnTl2Pd crystal.

```
MnTl2Pd
1.0
4.707 0.000 0.000
2.354 4.077 0.000
2.354 1.359 3.844
Tl Mn Pd
2 1 1
Direct
0.250 0.250 0.250
0.750 0.750 0.750
0.000 0.000 0.000
0.500 0.500 0.500
```

Values from the calculation:
DFT formation energy ... 0.22 eV per atom
Spin magnetization ... 3.68 μB per cell


DFT (GGA-PBEsol) results for a relaxed KV2SeO7 crystal.

```
KV2SeO7
1.0
5.413 0.000 0.000
0.000 6.891 0.000
0.000 0.000 18.246
K V Se O
4 8 4 28
Direct
0.250 0.246 0.970
0.250 0.254 0.470
0.750 0.754 0.030
0.750 0.746 0.530
0.250 0.738 0.882
0.250 0.762 0.382
0.750 0.262 0.118
0.750 0.238 0.618
0.250 0.959 0.691
0.250 0.541 0.191
0.750 0.041 0.309
0.750 0.459 0.809
0.250 0.483 0.650
0.250 0.017 0.150
0.750 0.517 0.350
0.750 0.983 0.850
0.250 0.913 0.780
0.250 0.587 0.280
0.750 0.087 0.220
0.750 0.413 0.720
0.994 0.088 0.668
0.506 0.412 0.168
0.494 0.912 0.332
0.006 0.588 0.832
0.006 0.912 0.332
0.494 0.588 0.832
0.506 0.088 0.668
0.994 0.412 0.168
0.250 0.736 0.637
0.250 0.764 0.137
0.750 0.264 0.363
0.750 0.236 0.863
0.009 0.437 0.592
0.491 0.063 0.092
0.509 0.563 0.408
0.991 0.937 0.908
0.991 0.563 0.408
0.509 0.937 0.908
0.491 0.437 0.592
0.009 0.063 0.092
0.250 0.636 0.962
0.250 0.864 0.462
0.750 0.364 0.038
0.750 0.136 0.538
```

Values from the calculation:
Energy relative to the elements, uncorrected ... -1926 meV per atom
Spin magnetization ... 3.95 μB per cell


DFT (GGA-PBEsol) results for a relaxed Sb2IrSe crystal.

```
Sb2IrSe
1.0
-2.517 1.117 -1.679
1.871 -1.505 -3.806
-2.472 -5.054 3.443
Ir Sb Se
1 2 1
Direct
0.000 0.500 0.000
0.681 0.681 0.363
0.319 0.319 0.637
0.500 0.000 0.000
```

Values from the calculation:
Energy relative to the elements, uncorrected ... 122 meV per atom
Spin magnetization ... 0.00 μB per cell


Question: What is the spin magnetization in the second record?
Answer: 0.00 μB per cell